No. 1
Here is MgTaTiBi2 after structural relaxation from the Alexandria database. Energies are from PBE-GGA.

a = 5.388 Å, b = 4.824 Å, c = 5.388 Å
α = 90.00°, β = 90.00°, γ = 90.00°
Fractional coordinates of all 5 atoms:
Mg1 0.500 0.500 0.500
Ti1 0.000 0.000 0.000
Bi1 0.000 0.000 0.500
Bi2 0.500 0.000 0.000
Ta1 0.000 0.500 0.000

Calculated values
Crystal system: tetragonal
Symmetry: P4/mmm, No. 123
M_tot: 0.00 μB/cell
ΔH_f (0 K): 4.0 eV/f.u.


No. 2
Here is CdHg2Se after structural relaxation from the Alexandria database. Energies are from PBE-GGA.

a = 6.703 Å, b = 6.703 Å, c = 3.027 Å
α = 89.83°, β = 89.83°, γ = 129.94°
Fractional coordinates of all 4 atoms:
Cd1 0.000 0.500 0.500
Hg1 0.000 0.000 0.000
Hg2 0.500 0.500 0.000
Se1 0.500 0.000 0.500

Calculated values
Crystal system: monoclinic
Formation energy from raw total energies: 0.042 eV per atom
Symmetry: C2/m, No. 12
M_tot: 0.00 μB/cell